(1)
Material: LaAlGaPt2
Method: DFT, PBE
State: optimized geometry

abc: 4.229 4.229 6.363
angles: 109.41 109.41 90.00
Atoms (fractional coordinates):
Al 0.750 0.250 0.500
Pt 0.622 0.622 0.244
Pt 0.378 0.378 0.756
Ga 0.250 0.750 0.500
La 0.000 0.000 0.000

Properties
Symmetry: I-4m2, No. 119
ΔE to the lowest computed polymorph (meV per atom): 0.0

---

(2)
Material: LaAl2GaPt2
Method: DFT, PBE
State: optimized geometry

abc: 4.701 4.701 5.741
angles: 90.00 90.00 90.00
Atoms (fractional coordinates):
Pt 0.000 0.500 0.000
Pt 0.500 0.000 0.000
Al 0.500 0.500 0.250
Al 0.500 0.500 0.750
Ga 0.000 0.000 0.000
La 0.000 0.000 0.500

Properties
Symmetry: P4/mmm, No. 123

---

(3)
Material: La3AlGa2Pt9
Method: DFT, PBE
State: optimized geometry

abc: 6.519 6.519 9.075
angles: 90.00 90.00 120.00
Atoms (fractional coordinates):
Pt 0.500 0.000 0.000
Pt 0.861 0.139 0.713
Pt 0.139 0.278 0.287
Pt 0.722 0.861 0.287
Pt 0.278 0.139 0.713
Pt 0.500 0.500 0.000
Pt 0.139 0.861 0.287
Pt 0.861 0.722 0.713
Pt 0.000 0.500 0.000
La 0.000 0.000 0.000
La 0.667 0.333 0.284
La 0.333 0.667 0.716
Ga 0.667 0.333 0.815
Ga 0.333 0.667 0.185
Al 0.000 0.000 0.500

Properties
Symmetry: P-3m1, No. 164

---

(4)
Material: La2Al3GaPt4
Method: DFT, PBE
State: optimized geometry

abc: 4.381 4.381 10.299
angles: 90.00 90.00 90.00
Atoms (fractional coordinates):
Ga 0.500 0.500 0.500
Pt 0.000 0.000 0.000
Pt 0.500 0.500 0.000
Pt 0.500 0.000 0.633
Pt 0.000 0.500 0.367
Al 0.500 0.000 0.876
Al 0.000 0.500 0.124
Al 0.000 0.000 0.500
La 0.000 0.500 0.747
La 0.500 0.000 0.253

Properties
Symmetry: P-4m2, No. 115

---

(5)
Material: LaAlGaPt2
Method: DFT, PBE
State: optimized geometry

abc: 5.319 5.843 5.319
angles: 90.00 90.00 90.00
Atoms (fractional coordinates):
Pt 0.000 0.000 0.500
Pt 0.500 0.000 0.000
La 0.000 0.000 0.000
Al 0.000 0.500 0.000
Ga 0.500 0.500 0.500

Properties
Symmetry: P4/mmm, No. 123
ΔE to the lowest computed polymorph (meV per atom): 1860.0

---

(6)
Material: La2AlGa3Pt4
Method: DFT, PBE
State: optimized geometry

abc: 4.307 4.307 10.670
angles: 90.00 90.00 90.00
Atoms (fractional coordinates):
Pt 0.500 0.500 0.000
Pt 0.000 0.000 0.000
Pt 0.500 0.000 0.631
Pt 0.000 0.500 0.369
Al 0.500 0.500 0.500
Ga 0.000 0.000 0.500
Ga 0.500 0.000 0.870
Ga 0.000 0.500 0.130
La 0.500 0.000 0.252
La 0.000 0.500 0.748

Properties
Symmetry: P-4m2, No. 115

---

Number 1: formation energy -1045 meV/atom, energy -29.00 eV/cell. Number 2: formation energy -565 meV/atom, energy -30.91 eV/cell. Number 3: formation energy -716 meV/atom, energy -89.69 eV/cell. Number 4: formation energy -1100 meV/atom, energy -59.27 eV/cell. Number 5: formation energy 815 meV/atom, energy -19.70 eV/cell. Number 6: formation energy -1026 meV/atom, energy -57.10 eV/cell.